Arrangement i

Dy2Y6Tm: optimized geometry, PBE-GGA.

It has space group C2/c (No. 15), with a = 21.714 Å, b = 9.563 Å, c = 5.720 Å, α = 90.00°, β = 105.26° and γ = 90.00°. The distinct sites, in fractional coordinates, are Dy at (0.250, 0.082, 0.033), Y at (0.082, 0.418, 0.870), Y at (0.083, 0.082, 0.797), Y at (0.167, 0.250, 0.417) and Tm at (0.000, 0.250, 0.250).

As for the density of states at the Fermi level: 15.328 states/eV/f.u.

***

Arrangement ii

Dy2Y6Tm: optimized geometry, PBE-GGA.

It has space group C2/c (No. 15), with a = 12.782 Å, b = 14.287 Å, c = 6.534 Å, α = 90.00°, β = 103.91° and γ = 90.00°. The distinct sites, in fractional coordinates, are Dy at (0.139, 0.023, 0.369), Y at (0.037, 0.186, 0.005), Y at (0.135, 0.413, 0.810), Y at (0.240, 0.198, 0.725) and Tm at (0.000, 0.382, 0.250).

As for the density of states at the Fermi level: 11.883 states/eV/f.u.

***

What are the relative energies? In meV per atom: arrangement i 0; arrangement ii 40.

***

Arrangement i

Dy5YTm2: optimized geometry, PBE-GGA.

It has space group P-1 (No. 2), with a = 7.774 Å, b = 8.529 Å, c = 8.546 Å, α = 115.86°, β = 90.86° and γ = 92.77°. The distinct sites, in fractional coordinates, are Dy at (0.045, 0.392, 0.094), Dy at (0.084, 0.695, 0.586), Dy at (0.253, 0.311, 0.685), Dy at (0.391, 0.676, 0.068), Dy at (0.393, 0.424, 0.320), Y at (0.248, 0.019, 0.989), Tm at (0.116, 0.925, 0.328) and Tm at (0.454, 0.904, 0.612).

As for the density of states at the Fermi level: 11.328 states/eV/f.u.

***

Arrangement ii

Dy5YTm2: optimized geometry, PBE-GGA.

It has space group Pbam (No. 55), with a = 7.066 Å, b = 14.132 Å, c = 4.989 Å, α = 90.00°, β = 90.00° and γ = 90.00°. The distinct sites, in fractional coordinates, are Dy at (0.000, 0.000, 0.000), Dy at (0.000, 0.249, 0.000), Dy at (0.249, 0.125, 0.500), Y at (0.000, 0.500, 0.000) and Tm at (0.250, 0.375, 0.500).

As for the density of states at the Fermi level: 9.661 states/eV/f.u.

***

What are the relative energies? In meV per atom: arrangement i 144; arrangement ii 0.

***

Arrangement i

Dy6YTm12: optimized geometry, PBE-GGA.

It has space group R-3m (No. 166, hexagonal axes), with a = 10.9162 Å, b = 10.9162 Å, c = 17.1320 Å, α = 90.00°, β = 90.00° and γ = 120.00°. The distinct sites, in fractional coordinates, are Dy at (0.0699, 0.5349, 0.2670), Y at (0.0000, 0.0000, 0.5000), Tm at (0.0994, 0.5497, 0.9144) and Tm at (0.1061, 0.2123, 0.9081).

As for the density of states at the Fermi level: 28.342 states/eV/f.u.

***

Arrangement ii

Dy6YTm12: optimized geometry, PBE-GGA.

It has space group R-3m (No. 166, hexagonal axes), with a = 14.9388 Å, b = 14.9388 Å, c = 9.8954 Å, α = 90.00°, β = 90.00° and γ = 120.00°. The distinct sites, in fractional coordinates, are Dy at (0.0541, 0.5270, 0.2100), Y at (0.0000, 0.0000, 0.0000), Tm at (0.0000, 0.3896, 0.5000) and Tm at (0.0726, 0.1453, 0.2849).

As for the density of states at the Fermi level: 24.418 states/eV/f.u.

***

What are the relative energies? In meV per atom: arrangement i 0; arrangement ii 326.

***

Arrangement i

DyY5Tm5: optimized geometry, PBE-GGA.

It has space group C2/m (No. 12), with a = 18.782 Å, b = 5.871 Å, c = 6.907 Å, α = 90.00°, β = 111.38° and γ = 90.00°. The distinct sites, in fractional coordinates, are Dy at (0.000, 0.000, 0.000), Y at (0.000, 0.500, 0.000), Y at (0.179, 0.000, 0.425), Y at (0.179, 0.000, 0.933), Tm at (0.000, 0.000, 0.500), Tm at (0.122, 0.500, 0.624) and Tm at (0.168, 0.500, 0.169).

As for the density of states at the Fermi level: 17.808 states/eV/f.u.

***

Arrangement ii

DyY5Tm5: optimized geometry, PBE-GGA.

It has space group P-1 (No. 2), with a = 6.823 Å, b = 6.823 Å, c = 8.485 Å, α = 75.22°, β = 75.27° and γ = 70.42°. The distinct sites, in fractional coordinates, are Dy at (0.000, 0.000, 0.000), Y at (0.000, 0.500, 0.000), Y at (0.147, 0.645, 0.363), Y at (0.316, 0.809, 0.637), Tm at (0.226, 0.148, 0.277), Tm at (0.352, 0.270, 0.725) and Tm at (0.500, 0.500, 0.000).

As for the density of states at the Fermi level: 17.201 states/eV/f.u.

***

What are the relative energies? In meV per atom: arrangement i 134; arrangement ii 0.